Arrangement one

Compound: Sr2Ni2P
Source: Alexandria
Functional: PBE-GGA
Structure: relaxed

CIF file:
```
data_Sr2Ni2P
_chemical_formula_sum 'Sr4 Ni4 P2'
_cell_length_a 6.771
_cell_length_b 6.771
_cell_length_c 4.454
_cell_angle_alpha 90.00
_cell_angle_beta 90.00
_cell_angle_gamma 90.00
_symmetry_space_group_name_H-M 'P 4/m b m'
_symmetry_Int_Tables_number 127
_symmetry_space_group_name_Hall '-P 4 2ab'
loop_
_atom_site_label
_atom_site_type_symbol
_atom_site_fract_x
_atom_site_fract_y
_atom_site_fract_z
_atom_site_occupancy
Sr1 Sr 0.186 0.314 0.000 1
Ni1 Ni 0.126 0.626 0.500 1
P1 P 0.000 0.000 0.500 1
```

---

Arrangement two

Compound: Sr2Ni2P
Source: Alexandria
Functional: PBE-GGA
Structure: relaxed

CIF file:
```
data_Sr2Ni2P
_chemical_formula_sum 'Sr8 Ni8 P4'
_cell_length_a 7.383
_cell_length_b 4.392
_cell_length_c 14.284
_cell_angle_alpha 90.00
_cell_angle_beta 90.00
_cell_angle_gamma 90.00
_symmetry_space_group_name_H-M 'P n m a'
_symmetry_Int_Tables_number 62
_symmetry_space_group_name_Hall '-P 2ac 2n'
loop_
_atom_site_label
_atom_site_type_symbol
_atom_site_fract_x
_atom_site_fract_y
_atom_site_fract_z
_atom_site_occupancy
Sr1 Sr 0.175 0.250 0.169 1
Sr2 Sr 0.184 0.250 0.439 1
Ni1 Ni 0.035 0.250 0.956 1
Ni2 Ni 0.041 0.750 0.302 1
P1 P 0.157 0.250 0.812 1
```

---

Least stable structure: arrangement one